Entry 1:
PPtCl2: relaxed, PBE.

Lattice parameters (Å, degrees): 3.2235 3.2247 8.2854 90.00 90.00 90.00
Fractional positions:
Cl  0.0000  0.0000  0.9322
Cl  0.5000  0.5000  0.2926
P  0.0000  0.0000  0.6887
Pt  0.5000  0.5000  0.5865

Calculated values
- M_tot (μB per cell) = 0.00
- DOS(E_F) (states/eV per cell) = 4.41
- E_tot (eV per atom) = -4.02
- formation energy from raw total energies (eV per formula unit) = -0.940
- energy above the most stable polymorph in this dataset (eV per formula unit) = 1.36


Entry 2:
SmB4Ru4: relaxed, PBE.

Lattice parameters (Å, degrees): 4.0337 7.5080 7.5080 90.00 90.00 90.00
Fractional positions:
Sm  0.0000  0.0000  0.0000
Sm  0.5000  0.5000  0.5000
B  0.6110  0.8329  0.2903
B  0.6110  0.1671  0.7097
B  0.1110  0.7903  0.6671
B  0.8890  0.3329  0.7903
B  0.8890  0.6671  0.2097
B  0.3890  0.2903  0.1671
B  0.3890  0.7097  0.8329
B  0.1110  0.2097  0.3329
Ru  0.3888  0.3554  0.8910
Ru  0.8888  0.6090  0.8554
Ru  0.3888  0.6446  0.1090
Ru  0.1112  0.1446  0.6090
Ru  0.6112  0.8910  0.6446
Ru  0.1112  0.8554  0.3910
Ru  0.8888  0.3910  0.1446
Ru  0.6112  0.1090  0.3554

Calculated values
- M_tot (μB per cell) = 0.00
- DOS(E_F) (states/eV per cell) = 14.90
- formation energy (eV/atom) = -0.475
- E_tot (eV per atom) = -8.09
- energy above the most stable polymorph in this dataset (eV per formula unit) = 0.00